Record 1
# CaZr2W

A relaxed CaZr2W crystal (PBE, the Alexandria database).

```
4
Lattice="0.0000 3.5190 3.5190 3.5190 0.0000 3.5190 3.5190 3.5190 0.0000" Properties=species:S:1:pos:R:3 pbc="T T T"
Ca 0.0000 0.0000 0.0000
Zr 1.7595 1.7595 1.7595
Zr 5.2784 5.2784 5.2784
W 3.5190 3.5190 3.5190
```

- Offset from the most stable computed form: 222.3 meV per atom
- SG: Fm-3m
- Total moment: 0.00 μB per cell
- E_form: 0.44 eV per atom

=====

Record 2
# CaAg2SnS4

A relaxed CaAg2SnS4 crystal (PBE, the Alexandria database).

```
16
Lattice="7.8917 -0.1910 -0.1249 -0.1965 7.8916 -0.1249 -3.8759 -3.8786 5.5650" Properties=species:S:1:pos:R:3 pbc="T T T"
Ca -0.0983 3.9458 -0.0624
Ca 5.8556 1.8155 2.5952
Ag 3.9459 -0.0955 -0.0624
Ag 2.0079 -2.0348 2.7201
Ag -1.9379 -1.9393 2.7825
Ag 3.8476 3.8503 -0.1249
Sn 1.9097 1.9110 2.6577
Sn 4.0159 -4.0695 5.4401
S 1.6827 6.0963 -0.0663
S 3.7063 0.0331 2.5991
S 0.1130 3.7889 2.7162
S 2.1368 -2.2742 5.3816
S 1.9362 1.8873 5.3585
S 3.8431 3.7955 2.6144
S -0.0237 0.0266 2.7008
S 1.8831 1.9347 -0.0432
```

- SG: C2/c
- Formation energy from raw total energies: -620 meV per atom
- Total moment: 0.00 μB per cell

=====

Record 3
# Sm2MgBi

A relaxed Sm2MgBi crystal (PBE, the Alexandria database).

```
4
Lattice="4.1248 0.0000 0.0000 0.0000 4.1248 0.0000 0.0000 0.0000 6.8625" Properties=species:S:1:pos:R:3 pbc="T T T"
Mg 2.0624 2.0624 0.0000
Bi 2.0624 2.0624 3.4312
Sm 0.0000 0.0000 5.1236
Sm 0.0000 0.0000 1.7389
```

- Offset from the most stable computed form: 0.0 meV per atom
- SG: P4/mmm
- Total moment: 0.00 μB per cell
- E_form: -0.46 eV per atom

=====

Volume readings, ordered: 21.79, 21.16, 29.19 A^3/atom